VASP calculation (GGA-PBE) on crystalline ErThSb at its relaxed geometry.

abc: 5.158 5.158 5.158
angles: 60.00 60.00 60.00
Positions (direct):
Er (0.000, 0.000, 0.000)
Th (0.500, 0.500, 0.500)
Sb (0.250, 0.250, 0.250)

Values from the calculation:
E_tot: -5.64 eV/atom
M_tot: 0.067 Bohr magnetons per cell